{"formula": "BaSm2Er", "functional": "PBE", "state": "optimized geometry", "lattice": [[-3.365, 1.280, -0.993], [-1.503, -3.321, 0.811], [-1.748, 3.267, 10.133]], "species": ["Ba", "Sm", "Sm", "Er"], "frac_coords": [[0.500, 0.500, 0.500], [0.000, 0.000, 0.784], [0.000, 0.000, 0.216], [0.500, 0.500, 0.000]], "magmom_total_mub_per_cell": 0.00, "dft_energy_ev_per_atom": -3.85, "crystal_system": "tetragonal"}